No. 1
Below is an optimized crystal structure of SmYTmTh, with properties calculated at the PBE-GGA level. Values from VASP.

Output
E above lowest polymorph, meV per atom: 121
DOS(E_F), states/eV/cell: 8.3

```
&SYSTEM
  ibrav = 0, nat = 4, ntyp = 4
/
ATOMIC_SPECIES
Tm 168.93 Tm.upf
Y 88.91 Y.upf
Sm 150.36 Sm.upf
Th 232.04 Th.upf
CELL_PARAMETERS angstrom
-2.847 -4.824 -0.954
1.831 -4.876 2.271
-2.928 -2.451 4.208
ATOMIC_POSITIONS crystal
Tm 0.250 0.250 0.250
Y 0.750 0.750 0.750
Sm 0.500 0.500 0.500
Th 0.000 0.000 0.000
```

***

No. 2
Below is an optimized crystal structure of Sm2Y3Tm6Th, with properties calculated at the PBE-GGA level. Values from VASP.

Output
DOS(E_F), states/eV/cell: 16.9

```
&SYSTEM
  ibrav = 0, nat = 12, ntyp = 4
/
ATOMIC_SPECIES
Tm 168.93 Tm.upf
Y 88.91 Y.upf
Th 232.04 Th.upf
Sm 150.36 Sm.upf
CELL_PARAMETERS angstrom
6.144 0.002 0.009
-3.069 5.323 0.009
-1.042 -1.804 11.514
ATOMIC_POSITIONS crystal
Tm 0.916 0.586 0.751
Tm 0.084 0.414 0.249
Tm 0.414 0.084 0.249
Tm 0.755 0.755 0.250
Tm 0.586 0.916 0.751
Tm 0.245 0.245 0.750
Y 0.167 0.833 0.500
Y 0.500 0.500 0.500
Y 0.833 0.167 0.500
Th 0.000 0.000 0.000
Sm 0.333 0.667 0.000
Sm 0.667 0.333 0.000
```

***

No. 3
Below is an optimized crystal structure of SmYTmTh2, with properties calculated at the PBE-GGA level. Values from VASP.

Output
DOS(E_F), states/eV/cell: 14.5

```
&SYSTEM
  ibrav = 0, nat = 10, ntyp = 4
/
ATOMIC_SPECIES
Th 232.04 Th.upf
Tm 168.93 Tm.upf
Y 88.91 Y.upf
Sm 150.36 Sm.upf
CELL_PARAMETERS angstrom
6.669 0.000 0.000
0.000 6.668 0.000
0.000 -3.334 7.817
ATOMIC_POSITIONS crystal
Th 0.000 0.249 0.000
Th 0.500 0.751 0.000
Th 0.500 0.249 0.000
Th 0.000 0.751 0.000
Tm 0.750 0.150 0.301
Tm 0.250 0.850 0.699
Y 0.250 0.652 0.305
Y 0.750 0.348 0.695
Sm 0.750 0.749 0.498
Sm 0.250 0.251 0.502
```

***

No. 4
Below is an optimized crystal structure of Sm6Y3TmTh2, with properties calculated at the PBE-GGA level. Values from VASP.

Output
DOS(E_F), states/eV/cell: 17.7

```
&SYSTEM
  ibrav = 0, nat = 12, ntyp = 4
/
ATOMIC_SPECIES
Y 88.91 Y.upf
Sm 150.36 Sm.upf
Tm 168.93 Tm.upf
Th 232.04 Th.upf
CELL_PARAMETERS angstrom
6.218 0.002 -0.001
-3.106 5.387 -0.001
-1.037 -1.796 11.776
ATOMIC_POSITIONS crystal
Y 0.167 0.833 0.500
Y 0.500 0.500 0.500
Y 0.833 0.167 0.500
Sm 0.582 0.918 0.753
Sm 0.747 0.747 0.247
Sm 0.918 0.582 0.753
Sm 0.253 0.253 0.753
Sm 0.082 0.418 0.247
Sm 0.418 0.082 0.247
Tm 0.000 0.000 0.000
Th 0.666 0.334 0.000
Th 0.334 0.666 0.000
```

***

No. 5
Below is an optimized crystal structure of SmY6Tm3Th2, with properties calculated at the PBE-GGA level. Values from VASP.

Output
DOS(E_F), states/eV/cell: 18.7

```
&SYSTEM
  ibrav = 0, nat = 12, ntyp = 4
/
ATOMIC_SPECIES
Y 88.91 Y.upf
Th 232.04 Th.upf
Tm 168.93 Tm.upf
Sm 150.36 Sm.upf
CELL_PARAMETERS angstrom
6.177 0.002 0.002
-3.085 5.351 0.002
-1.034 -1.791 11.581
ATOMIC_POSITIONS crystal
Y 0.579 0.916 0.750
Y 0.747 0.747 0.250
Y 0.084 0.421 0.250
Y 0.916 0.579 0.750
Y 0.421 0.084 0.250
Y 0.253 0.253 0.750
Th 0.667 0.333 0.000
Th 0.333 0.667 0.000
Tm 0.500 0.500 0.500
Tm 0.166 0.834 0.500
Tm 0.834 0.166 0.500
Sm 0.000 0.000 0.000
```

***

No. 6
Below is an optimized crystal structure of Sm2Y6Tm3Th, with properties calculated at the PBE-GGA level. Values from VASP.

Output
DOS(E_F), states/eV/cell: 17.5

```
&SYSTEM
  ibrav = 0, nat = 12, ntyp = 4
/
ATOMIC_SPECIES
Y 88.91 Y.upf
Th 232.04 Th.upf
Sm 150.36 Sm.upf
Tm 168.93 Tm.upf
CELL_PARAMETERS angstrom
6.179 0.002 0.016
-3.086 5.353 0.016
-1.060 -1.836 11.604
ATOMIC_POSITIONS crystal
Y 0.585 0.915 0.748
Y 0.245 0.245 0.748
Y 0.085 0.415 0.252
Y 0.415 0.085 0.252
Y 0.755 0.755 0.252
Y 0.915 0.585 0.748
Th 0.000 0.000 0.000
Sm 0.333 0.667 0.000
Sm 0.667 0.333 0.000
Tm 0.167 0.833 0.500
Tm 0.833 0.167 0.500
Tm 0.500 0.500 0.500
```

***

No. 7
Below is an optimized crystal structure of Sm5Y2TmTh, with properties calculated at the PBE-GGA level. Values from VASP.

Output
DOS(E_F), states/eV/cell: 28.7

```
&SYSTEM
  ibrav = 0, nat = 18, ntyp = 4
/
ATOMIC_SPECIES
Th 232.04 Th.upf
Y 88.91 Y.upf
Sm 150.36 Sm.upf
Tm 168.93 Tm.upf
CELL_PARAMETERS angstrom
5.632 0.000 0.000
-2.816 10.193 0.000
0.000 0.000 10.575
ATOMIC_POSITIONS crystal
Th 0.200 0.401 0.011
Th 0.800 0.599 0.511
Y 0.112 0.224 0.737
Y 0.888 0.776 0.237
Y 0.115 0.230 0.312
Y 0.885 0.770 0.812
Sm 0.706 0.412 0.204
Sm 0.294 0.588 0.704
Sm 0.985 0.970 0.519
Sm 0.388 0.777 0.025
Sm 0.612 0.223 0.525
Sm 0.482 0.963 0.745
Sm 0.277 0.555 0.311
Sm 0.518 0.037 0.245
Sm 0.015 0.030 0.019
Sm 0.723 0.445 0.811
Tm 0.406 0.811 0.461
Tm 0.594 0.189 0.961
```

***

No. 8
Below is an optimized crystal structure of SmYTmTh, with properties calculated at the PBE-GGA level. Values from VASP.

Output
E above lowest polymorph, meV per atom: 0
DOS(E_F), states/eV/cell: 5.9

```
&SYSTEM
  ibrav = 0, nat = 4, ntyp = 4
/
ATOMIC_SPECIES
Y 88.91 Y.upf
Sm 150.36 Sm.upf
Th 232.04 Th.upf
Tm 168.93 Tm.upf
CELL_PARAMETERS angstrom
3.596 -0.001 -0.001
-1.798 3.115 0.004
-1.795 -1.050 11.479
ATOMIC_POSITIONS crystal
Y 0.967 0.381 0.364
Sm 0.472 0.134 0.621
Th 0.304 0.550 0.870
Tm 0.134 0.965 0.114
```

***

No. 9
Below is an optimized crystal structure of SmY6Tm2Th3, with properties calculated at the PBE-GGA level. Values from VASP.

Output
DOS(E_F), states/eV/cell: 18.8

```
&SYSTEM
  ibrav = 0, nat = 12, ntyp = 4
/
ATOMIC_SPECIES
Sm 150.36 Sm.upf
Y 88.91 Y.upf
Th 232.04 Th.upf
Tm 168.93 Tm.upf
CELL_PARAMETERS angstrom
-5.116 0.140 -3.482
3.703 -4.959 -0.138
-5.558 -3.134 9.880
ATOMIC_POSITIONS crystal
Sm 0.000 0.000 0.000
Y 0.418 0.084 0.253
Y 0.084 0.418 0.253
Y 0.249 0.249 0.747
Y 0.751 0.751 0.253
Y 0.582 0.916 0.747
Y 0.916 0.582 0.747
Th 0.166 0.834 0.500
Th 0.834 0.166 0.500
Th 0.500 0.500 0.500
Tm 0.667 0.333 0.000
Tm 0.333 0.667 0.000
```

***

No. 10
Below is an optimized crystal structure of Sm2YTmTh, with properties calculated at the PBE-GGA level. Values from VASP.

Output
DOS(E_F), states/eV/cell: 12.7

```
&SYSTEM
  ibrav = 0, nat = 10, ntyp = 4
/
ATOMIC_SPECIES
Sm 150.36 Sm.upf
Th 232.04 Th.upf
Y 88.91 Y.upf
Tm 168.93 Tm.upf
CELL_PARAMETERS angstrom
-6.147 1.451 -0.532
-1.996 -8.304 0.410
-0.302 1.018 6.273
ATOMIC_POSITIONS crystal
Sm 0.299 0.687 0.280
Sm 0.299 0.313 0.220
Sm 0.701 0.313 0.720
Sm 0.701 0.687 0.780
Th 0.548 0.000 0.250
Th 0.452 0.000 0.750
Y 0.000 0.000 0.500
Y 0.000 0.000 0.000
Tm 0.818 0.500 0.250
Tm 0.182 0.500 0.750
```

***

No. 11
Below is an optimized crystal structure of Sm6Y2Tm3Th, with properties calculated at the PBE-GGA level. Values from VASP.

Output
DOS(E_F), states/eV/cell: 16.1

```
&SYSTEM
  ibrav = 0, nat = 12, ntyp = 4
/
ATOMIC_SPECIES
Sm 150.36 Sm.upf
Tm 168.93 Tm.upf
Y 88.91 Y.upf
Th 232.04 Th.upf
CELL_PARAMETERS angstrom
6.206 0.001 0.021
-3.101 5.376 0.021
-1.074 -1.860 11.656
ATOMIC_POSITIONS crystal
Sm 0.586 0.916 0.748
Sm 0.084 0.414 0.252
Sm 0.414 0.084 0.252
Sm 0.916 0.586 0.748
Sm 0.245 0.245 0.748
Sm 0.755 0.755 0.252
Tm 0.167 0.833 0.500
Tm 0.833 0.167 0.500
Tm 0.500 0.500 0.500
Y 0.333 0.667 0.000
Y 0.667 0.333 0.000
Th 0.000 0.000 0.000
```

***

No. 12
Below is an optimized crystal structure of Sm3YTmTh, with properties calculated at the PBE-GGA level. Values from VASP.

Output
DOS(E_F), states/eV/cell: 17.7

```
&SYSTEM
  ibrav = 0, nat = 12, ntyp = 4
/
ATOMIC_SPECIES
Th 232.04 Th.upf
Tm 168.93 Tm.upf
Sm 150.36 Sm.upf
Y 88.91 Y.upf
CELL_PARAMETERS angstrom
5.080 0.000 0.000
0.000 7.939 -1.164
0.000 -3.390 10.239
ATOMIC_POSITIONS crystal
Th 0.750 0.377 0.877
Th 0.250 0.623 0.123
Tm 0.250 0.126 0.627
Tm 0.750 0.874 0.373
Sm 0.750 0.867 0.045
Sm 0.250 0.133 0.955
Sm 0.750 0.371 0.543
Sm 0.250 0.629 0.457
Sm 0.250 0.615 0.793
Sm 0.750 0.385 0.207
Y 0.250 0.122 0.293
Y 0.750 0.878 0.707
```

***

| no. | ΔH_f (0 K) (meV per atom) |
| --- | --- |
| 1 | 131 |
| 2 | 32 |
| 3 | 398 |
| 4 | 32 |
| 5 | 36 |
| 6 | 34 |
| 7 | 153 |
| 8 | 9 |
| 9 | 27 |
| 10 | 323 |
| 11 | 34 |
| 12 | 30 |